No. 1
# YMg2Ta

YMg2Ta at its PBEsol-relaxed geometry (meta-GGA SCAN, the Alexandria database).

The structure belongs to space group Pmmm (No. 47); the cell edges are 3.074, 4.347 and 6.468 Å and the angles 90.00°, 90.00° and 90.00°. The inequivalent atoms are Y at (0.000, 0.000, 0.000), Mg at (0.500, 0.500, 0.277) and Ta at (0.000, 0.000, 0.500).

As for the formation energy: 331 meV per atom. For the energy above the most stable polymorph in this dataset, the calculation gives 0 meV per atom. The value obtained for the density of states at the Fermi level is 3.56 states/eV/cell. The value obtained for the total DFT energy (no corrections) is -103.1 eV for the cell shown.

***

No. 2
# YMg2ZrTa

YMg2ZrTa at its PBEsol-relaxed geometry (meta-GGA SCAN, the Alexandria database).

The structure belongs to space group P4/mmm (No. 123); the cell edges are 5.107, 5.107 and 4.911 Å and the angles 90.00°, 90.00° and 90.00°. The inequivalent atoms are Y at (0.000, 0.000, 0.000), Mg at (0.000, 0.500, 0.000), Zr at (0.500, 0.500, 0.500) and Ta at (0.000, 0.000, 0.500).

As for the formation energy: 1575 meV per atom. The value obtained for the density of states at the Fermi level is 4.40 states/eV/cell. The value obtained for the total DFT energy (no corrections) is -127.2 eV for the cell shown.

***

What did the first record say?
# YMg2Ta

YMg2Ta at its PBEsol-relaxed geometry (meta-GGA SCAN, the Alexandria database).

The structure belongs to space group Pmmm (No. 47); the cell edges are 3.074, 4.347 and 6.468 Å and the angles 90.00°, 90.00° and 90.00°. The inequivalent atoms are Y at (0.000, 0.000, 0.000), Mg at (0.500, 0.500, 0.277) and Ta at (0.000, 0.000, 0.500).

As for the formation energy: 331 meV per atom. For the energy above the most stable polymorph in this dataset, the calculation gives 0 meV per atom. The value obtained for the density of states at the Fermi level is 3.56 states/eV/cell. The value obtained for the total DFT energy (no corrections) is -103.1 eV for the cell shown.